# 1
Material: TeAs
Method: DFT, PBE
State: relaxed

Cell lengths 6.635, 6.635, 6.635 Å; angles 90.00, 90.00, 90.00 degrees
Sites, in units of the cell vectors:
Te 0.000 0.000 0.000
Te 0.000 0.500 0.500
Te 0.500 0.000 0.500
Te 0.500 0.500 0.000
As 0.250 0.250 0.250
As 0.250 0.750 0.750
As 0.750 0.250 0.750
As 0.750 0.750 0.250

Computed properties:
formation energy without anion corrections: 0.40 eV/atom

# 2
Material: TbTlAg2Br6
Method: DFT, PBE
State: relaxed

Cell lengths 7.434, 7.435, 8.065 Å; angles 90.01, 117.40, 119.99 degrees
Sites, in units of the cell vectors:
Tb 0.000 0.000 0.000
Tl 0.037 0.519 0.556
Ag 0.624 0.812 0.436
Ag 0.659 0.330 0.990
Br 0.146 0.976 0.737
Br 0.147 0.746 0.214
Br 0.468 0.402 0.214
Br 0.568 0.591 0.738
Br 0.761 0.170 0.737
Br 0.812 0.067 0.214

Computed properties:
formation energy without anion corrections: -1.03 eV/atom

# 3
Material: SmMg3Cu2
Method: DFT, PBE
State: relaxed

Cell lengths 7.752, 7.752, 10.706 Å; angles 122.01, 122.01, 28.63 degrees
Sites, in units of the cell vectors:
Sm 0.141 0.141 0.226
Sm 0.859 0.859 0.774
Mg 0.146 0.146 0.733
Mg 0.423 0.423 0.083
Mg 0.425 0.425 0.561
Mg 0.575 0.575 0.439
Mg 0.577 0.577 0.917
Mg 0.854 0.854 0.267
Cu 0.225 0.225 0.550
Cu 0.226 0.226 0.043
Cu 0.774 0.774 0.957
Cu 0.775 0.775 0.450

Computed properties:
total DFT energy (no corrections): -0.223 Ry/atom

# 4
Material: FeBrCl2
Method: DFT, PBE
State: relaxed

Cell lengths 3.460, 3.460, 24.362 Å; angles 90.00, 90.00, 120.00 degrees
Sites, in units of the cell vectors:
Fe 0.000 0.000 0.000
Fe 0.333 0.667 0.667
Fe 0.667 0.333 0.333
Br 0.000 0.000 0.722
Br 0.333 0.667 0.388
Br 0.667 0.333 0.055
Cl 0.000 0.000 0.284
Cl 0.000 0.000 0.496
Cl 0.333 0.667 0.162
Cl 0.333 0.667 0.950
Cl 0.667 0.333 0.617
Cl 0.667 0.333 0.829

Computed properties:
formation energy without anion corrections: -0.06 eV/atom
E above lowest polymorph: 576 meV/atom

# 5
Material: LiY2SbS
Method: DFT, PBE
State: relaxed

Cell lengths 5.728, 5.728, 4.654 Å; angles 90.00, 90.00, 90.00 degrees
Sites, in units of the cell vectors:
Li 0.000 0.000 0.000
Y 0.000 0.500 0.500
Y 0.500 0.000 0.500
Sb 0.000 0.000 0.500
S 0.500 0.500 0.000

Computed properties:
formation energy without anion corrections: -0.22 eV/atom
E above lowest polymorph: 286 meV/atom

# 6
Material: LiAg
Method: DFT, PBE
State: relaxed

Cell lengths 9.952, 8.261, 5.903 Å; angles 87.62, 56.03, 36.34 degrees
Sites, in units of the cell vectors:
Li 0.006 0.744 0.006
Li 0.256 0.994 0.256
Li 0.744 0.006 0.744
Li 0.994 0.256 0.994
Ag 0.261 0.261 0.489
Ag 0.489 0.489 0.261
Ag 0.511 0.511 0.739
Ag 0.739 0.739 0.511

Computed properties:
total DFT energy (no corrections): -0.186 Ry/atom

# 7
Material: Pu2SnS
Method: DFT, PBE
State: relaxed

Cell lengths 3.386, 3.386, 8.096 Å; angles 90.00, 90.00, 90.00 degrees
Sites, in units of the cell vectors:
Pu 0.000 0.000 0.214
Pu 0.000 0.000 0.786
Sn 0.500 0.500 0.500
S 0.500 0.500 0.000

Computed properties:
formation energy without anion corrections: -0.91 eV/atom
E above lowest polymorph: 0 meV/atom

# 8
Material: Zr4MnSi
Method: DFT, PBE
State: relaxed

Cell lengths 5.641, 5.641, 5.641 Å; angles 60.00, 60.00, 60.00 degrees
Sites, in units of the cell vectors:
Zr 0.124 0.124 0.124
Zr 0.124 0.124 0.627
Zr 0.124 0.627 0.124
Zr 0.627 0.124 0.124
Mn 0.750 0.750 0.750
Si 0.500 0.500 0.500

Computed properties:
formation energy without anion corrections: 0.54 eV/atom

# 9
Material: Ga2HgI8
Method: DFT, PBE
State: relaxed

Cell lengths 8.734, 8.734, 7.132 Å; angles 93.90, 93.90, 79.82 degrees
Sites, in units of the cell vectors:
Ga 0.207 0.207 0.156
Ga 0.793 0.793 0.844
Hg 0.000 0.000 0.500
I 0.076 0.713 0.723
I 0.203 0.203 0.793
I 0.287 0.924 0.277
I 0.389 0.389 0.291
I 0.611 0.611 0.709
I 0.713 0.076 0.723
I 0.797 0.797 0.207
I 0.924 0.287 0.277

Computed properties:
formation energy without anion corrections: -0.41 eV/atom

# 10
Material: FeSi3S
Method: DFT, PBE
State: relaxed

Cell lengths 4.374, 4.374, 4.374 Å; angles 90.00, 90.00, 90.00 degrees
Sites, in units of the cell vectors:
Fe 0.000 0.000 0.000
Si 0.000 0.500 0.500
Si 0.500 0.000 0.500
Si 0.500 0.500 0.000
S 0.500 0.500 0.500

Computed properties:
formation energy without anion corrections: 1.31 eV/atom
E above lowest polymorph: 1203 meV/atom

# 11
Material: Pm4AgOs
Method: DFT, PBE
State: relaxed

Cell lengths 9.805, 9.805, 9.805 Å; angles 60.00, 60.00, 60.00 degrees
Sites, in units of the cell vectors:
Pm 0.191 0.191 0.809
Pm 0.191 0.809 0.191
Pm 0.191 0.809 0.809
Pm 0.403 0.403 0.403
Pm 0.403 0.403 0.791
Pm 0.403 0.791 0.403
Pm 0.558 0.558 0.942
Pm 0.558 0.942 0.558
Pm 0.558 0.942 0.942
Pm 0.791 0.403 0.403
Pm 0.809 0.191 0.191
Pm 0.809 0.191 0.809
Pm 0.809 0.809 0.191
Pm 0.942 0.558 0.558
Pm 0.942 0.558 0.942
Pm 0.942 0.942 0.558
Ag 0.169 0.169 0.169
Ag 0.169 0.169 0.492
Ag 0.169 0.492 0.169
Ag 0.492 0.169 0.169
Os 0.165 0.612 0.612
Os 0.612 0.165 0.612
Os 0.612 0.612 0.165
Os 0.612 0.612 0.612

Computed properties:
total DFT energy (no corrections): -0.418 Ry/atom

# 12
Material: La4AlZnAg2
Method: DFT, PBE
State: relaxed

Cell lengths 9.349, 9.349, 9.349 Å; angles 33.52, 33.52, 33.52 degrees
Sites, in units of the cell vectors:
La 0.123 0.123 0.123
La 0.373 0.373 0.373
La 0.627 0.627 0.627
La 0.877 0.877 0.877
Al 0.500 0.500 0.500
Zn 0.000 0.000 0.000
Ag 0.247 0.247 0.247
Ag 0.753 0.753 0.753

Computed properties:
total DFT energy (no corrections): -0.300 Ry/atom